[1]
4
Lattice="10.415 1.996 -0.290 7.653 7.342 0.290 -8.496 -5.710 2.786" Properties=species:S:1:pos:R:3 comment="K2LiSc | Alexandria | PBE-GGA | optimized geometry" formation_energy_ev_per_atom=0.47 energy_ev_per_atom=-2.14 pbc="T T T"
Sc 4.095 3.150 1.538
Li 5.477 0.477 1.248
K 10.718 5.539 0.000
K 16.384 8.467 0.000

***

[2]
5
Lattice="4.914 0.000 0.000 0.000 4.914 0.000 0.000 0.000 4.442" Properties=species:S:1:pos:R:3 comment="FeAgAsSe2 | Alexandria | PBE-GGA | optimized geometry" raw_formation_energy_ev_per_atom=0.41 energy_ev_per_atom=-4.18 pbc="T T T"
Ag 2.457 2.457 2.221
As 0.000 0.000 2.221
Fe 0.000 0.000 0.000
Se 0.000 2.457 0.000
Se 2.457 0.000 0.000

***

[3]
11
Lattice="-0.419 4.327 -4.339 6.178 -4.283 -0.522 -6.497 -4.441 -3.800" Properties=species:S:1:pos:R:3 comment="Ac5NdPt5 | Alexandria | PBE-GGA | optimized geometry" formation_energy_ev_per_atom=-1.07 energy_ev_per_atom=-6.12 pbc="T T T"
Pt 2.759 -0.030 -4.643
Pt -0.197 -2.164 -2.139
Pt -3.497 -4.368 -4.017
Pt -0.541 -2.233 -6.522
Pt -0.210 2.163 -2.169
Ac -3.248 -2.220 -1.900
Ac -3.653 -2.301 -6.289
Ac -0.270 -0.028 -4.349
Ac 2.915 -2.096 -2.372
Ac -0.468 -4.369 -4.312
Nd 0.000 0.000 0.000